Record 1
Entry from Alexandria: crystalline ZrSi2Pb at its relaxed geometry (GGA-PBE).

POSCAR file:
```
ZrSi2Pb
1.0
-1.9657 -5.1895 -1.2593
-0.1477 -4.0037 4.0409
-1.5883 5.4232 -0.6685
Si Pb Zr
2 1 1
direct
0.2500 0.7500 0.5000 Si
0.0000 0.0000 0.0000 Si
0.7500 0.2500 0.5000 Pb
0.5000 0.5000 0.0000 Zr
```

ΔE_f (raw): 0.106 eV per atom
SG: I-4m2 (119)
N(E_F): 2.68 states/eV/cell

=====

Record 2
Entry from Alexandria: crystalline ZrSiPb2 at its relaxed geometry (GGA-PBE).

POSCAR file:
```
ZrSiPb2
1.0
3.3502 -0.0179 0.0000
-0.7283 3.2702 0.0000
0.0000 0.0000 9.2510
Si Zr Pb
1 1 2
direct
0.0000 0.0000 0.5294 Si
0.5000 0.5000 0.7025 Zr
0.5000 0.5000 0.3047 Pb
0.0000 0.0000 0.9634 Pb
```

ΔE_f (raw): -0.020 eV per atom
SG: Cmm2 (35)
N(E_F): 2.47 states/eV/cell

=====

Record 3
Entry from Alexandria: crystalline ZrSi2Pb at its relaxed geometry (GGA-PBE).

POSCAR file:
```
ZrSi2Pb
1.0
3.1296 0.0000 0.0000
0.0000 3.1296 0.0000
0.0000 0.0000 8.8604
Zr Pb Si
1 1 2
direct
0.0000 0.0000 0.4394 Zr
0.5000 0.5000 0.7328 Pb
0.0000 0.0000 0.0931 Si
0.5000 0.5000 0.2347 Si
```

ΔE_f (raw): 0.095 eV per atom
SG: P4mm (99)
N(E_F): 0.44 states/eV/cell

=====

Record 4
Entry from Alexandria: crystalline ZrSiPb2 at its relaxed geometry (GGA-PBE).

POSCAR file:
```
ZrSiPb2
1.0
3.9376 0.0000 0.0000
0.0000 3.9377 0.0000
0.0000 0.0000 6.0959
Pb Si Zr
2 1 1
direct
0.0000 0.0000 0.4969 Pb
0.0000 0.0000 0.0031 Pb
0.5000 0.5000 0.2500 Si
0.5000 0.5000 0.7500 Zr
```

ΔE_f (raw): 0.171 eV per atom
SG: P4/mmm (123)
N(E_F): 2.56 states/eV/cell

=====

> Which value of ΔE_f (raw) does entry 3 give?

0.095 eV per atom

=====

> Which formula does entry 2 have?

ZrSiPb2

=====

Repeat the third record exactly.
Entry from Alexandria: crystalline ZrSi2Pb at its relaxed geometry (GGA-PBE).

POSCAR file:
```
ZrSi2Pb
1.0
3.1296 0.0000 0.0000
0.0000 3.1296 0.0000
0.0000 0.0000 8.8604
Zr Pb Si
1 1 2
direct
0.0000 0.0000 0.4394 Zr
0.5000 0.5000 0.7328 Pb
0.0000 0.0000 0.0931 Si
0.5000 0.5000 0.2347 Si
```

ΔE_f (raw): 0.095 eV per atom
SG: P4mm (99)
N(E_F): 0.44 states/eV/cell